# 1
Mn2NbIr | the Alexandria database | PBE | optimized geometry; energy relative to the lowest polymorph listed for this composition = 648 meV/atom; symmetry = No. 122
1.0
-1.8242 1.8242 9.2968
1.8242 -1.8242 9.2968
1.8242 1.8242 -9.2968
Mn Nb Ir
4 2 2
Direct
0.0353 0.6250 0.9103 Mn
0.3750 0.2853 0.4103 Mn
0.7147 0.1250 0.0897 Mn
0.8750 0.9647 0.5897 Mn
0.2500 0.7500 0.5000 Nb
0.5000 0.5000 0.0000 Nb
0.0000 0.0000 0.0000 Ir
0.7500 0.2500 0.5000 Ir



# 2
Mn5NbIr | the Alexandria database | PBE | optimized geometry; symmetry = No. 62
1.0
7.8197 0.0000 0.0000
0.0000 4.6679 0.0000
0.0000 0.0000 9.8456
Mn Nb Ir
20 4 4
Direct
0.0522 0.2500 0.0894 Mn
0.0733 0.5093 0.3114 Mn
0.0733 0.9907 0.3114 Mn
0.0898 0.7500 0.5256 Mn
0.1906 0.7500 0.7533 Mn
0.3094 0.2500 0.2533 Mn
0.4102 0.2500 0.0256 Mn
0.4267 0.0093 0.8114 Mn
0.4267 0.4907 0.8114 Mn
0.4478 0.7500 0.5894 Mn
0.5522 0.2500 0.4106 Mn
0.5733 0.5093 0.1886 Mn
0.5733 0.9907 0.1886 Mn
0.5898 0.7500 0.9744 Mn
0.6906 0.7500 0.7467 Mn
0.8094 0.2500 0.2467 Mn
0.9102 0.2500 0.4744 Mn
0.9267 0.0093 0.6886 Mn
0.9267 0.4907 0.6886 Mn
0.9478 0.7500 0.9106 Mn
0.2471 0.7500 0.0622 Nb
0.2529 0.2500 0.5622 Nb
0.7471 0.7500 0.4378 Nb
0.7529 0.2500 0.9378 Nb
0.1349 0.2500 0.8512 Ir
0.3651 0.7500 0.3512 Ir
0.6349 0.2500 0.6488 Ir
0.8651 0.7500 0.1488 Ir



| no. | spin magnetization (μB per cell) | ΔH_f (0 K) (eV per atom) | mass density (g/cm3) |
| --- | --- | --- | --- |
| 1 | 0.0 | 0.4738 | 10.60 |
| 2 | 8.9 | -0.1128 | 10.35 |